# 1
Entry from Alexandria: an optimized crystal structure of Tc2NiCl (PBE).

a b c (Å): 2.8382 4.3586 8.8388
angles (deg): 90.00 90.00 90.00
Fractional positions:
Tc1 0.0000 0.0000 0.0000
Tc2 0.0000 0.5000 0.2430
Tc3 0.5000 0.0000 0.7430
Tc4 0.5000 0.5000 0.5000
Ni1 0.0000 0.0000 0.4705
Ni2 0.5000 0.5000 0.9705
Cl1 0.0000 0.5000 0.7281
Cl2 0.5000 0.0000 0.2281

Summary:
Space-group type: Imm2, No. 44
Crystal system: orthorhombic
Distance to the lowest polymorph of the same formula: 140 kJ/mol of formula units



# 2
Entry from Alexandria: an optimized crystal structure of LiZnS2N (PBE).

a b c (Å): 4.8792 4.8792 3.8445
angles (deg): 90.00 90.00 90.00
Fractional positions:
Li1 0.0000 0.0000 0.0000
Zn1 0.5000 0.5000 0.5000
S1 0.0000 0.5000 0.5000
S2 0.5000 0.0000 0.5000
N1 0.5000 0.5000 0.0000

Summary:
Space-group type: P4/mmm, No. 123
Crystal system: tetragonal
Distance to the lowest polymorph of the same formula: 0 kJ/mol of formula units